Entry 1:
A relaxed structure of Li2AcAl9. Source: the Alexandria database, functional GGA-PBE.

Calculated values
Uncorrected energy ... -3.584 eV/atom
ΔE_f ... -0.116 eV per atom
DOS at the Fermi energy ... 6.3 states/eV per cell

extended XYZ file:
```
12
Lattice="2.827 1.632 8.676 -2.827 1.632 8.676 0.000 -3.265 8.676" Properties=species:S:1:pos:R:3 pbc="T T T"
Li 0.000 0.000 3.750
Li 0.000 0.000 22.278
Ac 0.000 0.000 0.000
Al -1.455 -0.840 10.908
Al 0.000 0.000 8.727
Al 0.000 -1.680 15.119
Al -1.455 0.840 15.119
Al 0.000 0.000 13.014
Al 1.455 -0.840 10.908
Al 0.000 1.680 10.908
Al 0.000 0.000 17.301
Al 1.455 0.840 15.119
```

=====

Entry 2:
A relaxed structure of ZrSiMo2. Source: the Alexandria database, functional GGA-PBE.

Calculated values
Uncorrected energy ... -9.098 eV/atom
DOS at the Fermi energy ... 2.4 states/eV per cell

extended XYZ file:
```
4
Lattice="3.346 0.000 0.000 0.000 3.346 0.000 0.000 0.000 5.972" Properties=species:S:1:pos:R:3 pbc="T T T"
Zr 0.000 0.000 0.000
Si 1.673 1.673 4.359
Mo 0.000 0.000 3.101
Mo 1.673 1.673 1.632
```

=====

Entry 3:
A relaxed structure of Pm4ThPb15. Source: the Alexandria database, functional GGA-PBE.

Calculated values
Uncorrected energy ... -4.429 eV/atom
ΔE_f ... -0.327 eV per atom
DOS at the Fermi energy ... 13.5 states/eV per cell

extended XYZ file:
```
20
Lattice="4.952 0.000 0.000 0.000 4.952 0.000 0.000 0.000 24.254" Properties=species:S:1:pos:R:3 pbc="T T T"
Pm 0.000 0.000 2.431
Pm 0.000 0.000 7.349
Pm 0.000 0.000 16.906
Pm 0.000 0.000 21.823
Th 0.000 0.000 12.127
Pb 0.000 2.476 0.000
Pb 0.000 2.476 4.874
Pb 0.000 2.476 9.718
Pb 0.000 2.476 14.536
Pb 0.000 2.476 19.380
Pb 2.476 0.000 0.000
Pb 2.476 0.000 4.874
Pb 2.476 0.000 9.718
Pb 2.476 0.000 14.536
Pb 2.476 0.000 19.380
Pb 2.476 2.476 2.439
Pb 2.476 2.476 7.285
Pb 2.476 2.476 12.127
Pb 2.476 2.476 16.970
Pb 2.476 2.476 21.815
```

=====

Entry 4:
A relaxed structure of Y3Tc. Source: the Alexandria database, functional GGA-PBE.

Calculated values
Uncorrected energy ... -7.229 eV/atom
ΔE_f ... 0.210 eV per atom
DOS at the Fermi energy ... 5.4 states/eV per cell

extended XYZ file:
```
4
Lattice="3.567 0.000 0.000 -1.784 3.090 0.000 0.000 0.000 9.969" Properties=species:S:1:pos:R:3 pbc="T T T"
Y 0.000 0.000 0.000
Y 0.000 2.060 3.003
Y 0.000 2.060 6.966
Tc 0.000 0.000 4.984
```

=====

Entry 5:
A relaxed structure of Pm3SmSb4. Source: the Alexandria database, functional GGA-PBE.

Calculated values
Uncorrected energy ... -5.623 eV/atom
DOS at the Fermi energy ... 0.4 states/eV per cell

extended XYZ file:
```
8
Lattice="6.342 0.000 0.000 0.000 6.342 0.000 0.000 0.000 6.342" Properties=species:S:1:pos:R:3 pbc="T T T"
Pm 0.000 0.000 3.171
Pm 0.000 3.171 0.000
Pm 3.171 0.000 0.000
Sm 3.171 3.171 3.171
Sb 0.000 0.000 0.000
Sb 0.000 3.171 3.171
Sb 3.171 0.000 3.171
Sb 3.171 3.171 0.000
```

=====

Entry 6:
A relaxed structure of KRb2F7. Source: the Alexandria database, functional GGA-PBE.

Calculated values
Uncorrected energy ... -3.081 eV/atom
DOS at the Fermi energy ... 7.5 states/eV per cell

extended XYZ file:
```
10
Lattice="-3.042 3.042 5.272 3.042 -3.042 5.272 3.042 3.042 -5.272" Properties=species:S:1:pos:R:3 pbc="T T T"
K 0.000 0.000 0.000
Rb 3.042 0.000 2.636
Rb 0.000 3.042 2.636
F 0.000 0.000 2.427
F 1.744 1.744 0.000
F 1.298 -1.298 5.272
F 0.000 0.000 5.272
F -1.298 1.298 5.272
F 1.298 1.298 5.272
F 0.000 0.000 8.118
```

=====

no.,volume (Å³ per atom)
1,20.02
2,16.71
3,29.73
4,27.47
5,31.88
6,19.52